Record 1
HgTe2Pt | PBE | optimized geometry

Lattice parameters (Å, degrees): 6.850 4.148 15.943 90.00 90.00 90.00
Sites, in units of the cell vectors:
Hg: 0.014 0.250 0.200
Hg: 0.486 0.750 0.700
Hg: 0.514 0.250 0.300
Hg: 0.986 0.750 0.800
Te: 0.037 0.250 0.672
Te: 0.214 0.250 0.989
Te: 0.286 0.750 0.489
Te: 0.463 0.750 0.172
Te: 0.537 0.250 0.828
Te: 0.714 0.250 0.511
Te: 0.786 0.750 0.011
Te: 0.963 0.750 0.328
Pt: 0.123 0.750 0.091
Pt: 0.377 0.250 0.591
Pt: 0.623 0.750 0.409
Pt: 0.877 0.250 0.909

Output
The energy is -3.33 eV/atom. The space group is Pnma (62).

---

Record 2
Sr3HgP | PBE | optimized geometry

Lattice parameters (Å, degrees): 5.862 5.862 5.862 90.00 90.00 90.00
Sites, in units of the cell vectors:
Sr: 0.000 0.000 0.500
Sr: 0.000 0.500 0.000
Sr: 0.500 0.000 0.000
Hg: 0.500 0.500 0.500
P: 0.000 0.000 0.000

Output
The energy is -2.74 eV/atom. The formation energy is -56.43 kJ per mole of atoms. The space group is Pm-3m (221). As for the energy above the most stable polymorph in this dataset: 0 meV/atom.

---

| no. | DOS(E_F) (states/eV per atom) |
| --- | --- |
| 1 | 0.282 |
| 2 | 0.811 |